i.
Here is PaTaPO after structural relaxation from OQMD via LeMat-Bulk. Energies are from PBE-GGA.

```
data_PaTaPO
_chemical_formula_sum 'Pa2 Ta2 P2 O2'
_symmetry_space_group_name_H-M 'P m c 21'
_symmetry_Int_Tables_number 26
_cell_length_a 4.236
_cell_length_b 4.755
_cell_length_c 6.719
_cell_angle_alpha 90.00
_cell_angle_beta 90.00
_cell_angle_gamma 90.00
loop_
_symmetry_equiv_pos_as_xyz
'x,y,z'
'-x,-y,z+1/2'
'-x,y,z'
'x,-y,z+1/2'
loop_
_atom_site_label
_atom_site_type_symbol
_atom_site_fract_x
_atom_site_fract_y
_atom_site_fract_z
Pa1 Pa 0.000 0.154 0.000
Ta1 Ta 0.500 0.356 0.352
P1 P 0.500 0.151 0.703
O1 O 0.000 0.360 0.351
```

Results
Crystal system ... orthorhombic


ii.
Here is PaTaPO after structural relaxation from OQMD via LeMat-Bulk. Energies are from PBE-GGA.

```
data_PaTaPO
_chemical_formula_sum 'Pa2 Ta2 P2 O2'
_symmetry_space_group_name_H-M 'P 4/n m m'
_symmetry_Int_Tables_number 129
_cell_length_a 3.929
_cell_length_b 3.929
_cell_length_c 8.822
_cell_angle_alpha 90.00
_cell_angle_beta 90.00
_cell_angle_gamma 90.00
loop_
_symmetry_equiv_pos_as_xyz
'x,y,z'
'-x,-y,-z'
'-y+1/2,x,z'
'y+1/2,-x,-z'
'-x+1/2,-y+1/2,z'
'x+1/2,y+1/2,-z'
'y,-x+1/2,z'
'-y,x+1/2,-z'
'x+1/2,-y,-z'
'-x+1/2,y,z'
'-y,-x,-z'
'y,x,z'
'-x,y+1/2,-z'
'x,-y+1/2,z'
'y+1/2,x+1/2,-z'
'-y+1/2,-x+1/2,z'
loop_
_atom_site_label
_atom_site_type_symbol
_atom_site_fract_x
_atom_site_fract_y
_atom_site_fract_z
Pa1 Pa 0.250 0.250 0.155
Ta1 Ta 0.250 0.750 0.500
P1 P 0.250 0.250 0.692
O1 O 0.250 0.750 0.000
```

Results
Crystal system ... tetragonal


Which is less stable than every other structure shown? i is.